Y5Th2Sc: relaxed, PBE.

Output
* energy: -6.531 eV per atom
* energy relative to the elements: 0.16 eV per atom
* total magnetization: 0.0 μB/cell

```
data_Y5Th2Sc
_chemical_formula_sum 'Y20 Th8 Sc4'
_symmetry_space_group_name_H-M 'C m c m'
_symmetry_Int_Tables_number 63
_symmetry_space_group_name_Hall '-C 2c 2'
_cell_length_a 5.578
_cell_length_b 11.806
_cell_length_c 15.620
_cell_angle_alpha 90.00
_cell_angle_beta 90.00
_cell_angle_gamma 90.00
loop_
_atom_site_label
_atom_site_fract_x
_atom_site_fract_y
_atom_site_fract_z
Y1 0.000 0.034 0.250
Y2 0.000 0.120 0.552
Y3 0.000 0.415 0.589
Th1 0.000 0.286 0.137
Sc1 0.000 0.239 0.750
```

La5Pm4Nd: relaxed, PBE.

Output
* energy: -4.694 eV per atom
* E above lowest polymorph: 52 meV per atom
* energy relative to the elements: 0.15 eV per atom
* total magnetization: 0.0 μB/cell

```
data_La5Pm4Nd
_chemical_formula_sum 'La10 Pm8 Nd2'
_symmetry_space_group_name_H-M 'C 1 2/m 1'
_symmetry_Int_Tables_number 12
_symmetry_space_group_name_Hall '-C 2y'
_cell_length_a 17.887
_cell_length_b 3.651
_cell_length_c 11.294
_cell_angle_alpha 90.00
_cell_angle_beta 90.11
_cell_angle_gamma 90.00
loop_
_atom_site_label
_atom_site_fract_x
_atom_site_fract_y
_atom_site_fract_z
La1 0.000 0.000 0.000
La2 0.174 0.500 0.941
La3 0.175 0.500 0.557
Pm1 0.027 0.500 0.749
Pm2 0.149 0.000 0.249
Nd1 0.000 0.000 0.500
```

Ta2W: relaxed, PBE.

Output
* energy: -12.283 eV per atom
* E above lowest polymorph: 15 meV per atom
* energy relative to the elements: -0.06 eV per atom
* total magnetization: 0.0 μB/cell

```
data_Ta2W
_chemical_formula_sum 'Ta2 W1'
_symmetry_space_group_name_H-M 'P -3 m 1'
_symmetry_Int_Tables_number 164
_symmetry_space_group_name_Hall '-P 3 2"'
_cell_length_a 4.6028
_cell_length_b 4.6028
_cell_length_c 2.8532
_cell_angle_alpha 90.00
_cell_angle_beta 90.00
_cell_angle_gamma 120.00
loop_
_atom_site_label
_atom_site_fract_x
_atom_site_fract_y
_atom_site_fract_z
Ta1 0.3333 0.6667 0.1818
W1 0.0000 0.0000 0.5000
```

MgAlCu2: relaxed, PBE.

Output
* energy: -3.467 eV per atom
* energy relative to the elements: -0.08 eV per atom
* total magnetization: 0.0 μB/cell

```
data_MgAlCu2
_chemical_formula_sum 'Mg2 Al2 Cu4'
_symmetry_space_group_name_H-M 'I -4 m 2'
_symmetry_Int_Tables_number 119
_symmetry_space_group_name_Hall 'I -4 -2'
_cell_length_a 3.804
_cell_length_b 3.804
_cell_length_c 7.989
_cell_angle_alpha 90.00
_cell_angle_beta 90.00
_cell_angle_gamma 90.00
loop_
_atom_site_label
_atom_site_fract_x
_atom_site_fract_y
_atom_site_fract_z
Mg1 0.000 0.000 0.000
Al1 0.000 0.500 0.750
Cu1 0.000 0.000 0.500
Cu2 0.000 0.500 0.250
```

Li2PmAlH8: relaxed, PBE.

Output
* energy: -3.553 eV per atom
* total magnetization: 0.0 μB/cell

```
data_Li2PmAlH8
_chemical_formula_sum 'Li2 Pm1 Al1 H8'
_symmetry_space_group_name_H-M 'P -1'
_symmetry_Int_Tables_number 2
_symmetry_space_group_name_Hall '-P 1'
_cell_length_a 4.367
_cell_length_b 4.407
_cell_length_c 5.832
_cell_angle_alpha 89.52
_cell_angle_beta 71.57
_cell_angle_gamma 85.93
loop_
_atom_site_label
_atom_site_fract_x
_atom_site_fract_y
_atom_site_fract_z
Li1 0.099 0.485 0.243
Pm1 0.500 0.000 0.500
Al1 0.000 0.000 0.000
H1 0.084 0.028 0.285
H2 0.228 0.286 0.865
H3 0.282 0.515 0.476
H4 0.338 0.766 0.872
```

LaPmN2: relaxed, PBE.

Output
* energy: -7.770 eV per atom
* E above lowest polymorph: 182 meV per atom
* raw formation energy: -1.19 eV/atom
* total magnetization: 0.0 μB/cell

```
data_LaPmN2
_chemical_formula_sum 'La3 Pm3 N6'
_symmetry_space_group_name_H-M 'R 3 m'
_symmetry_Int_Tables_number 160
_symmetry_space_group_name_Hall 'R 3 -2"'
_cell_length_a 3.6046
_cell_length_b 3.6046
_cell_length_c 18.8126
_cell_angle_alpha 90.00
_cell_angle_beta 90.00
_cell_angle_gamma 120.00
loop_
_atom_site_label
_atom_site_fract_x
_atom_site_fract_y
_atom_site_fract_z
La1 0.0000 0.0000 0.0000
Pm1 0.0000 0.0000 0.8303
N1 0.0000 0.0000 0.4048
N2 0.0000 0.0000 0.5691
```

PrErPtRh: relaxed, PBE.

Output
* energy: -6.658 eV per atom
* E above lowest polymorph: 0 meV per atom
* energy relative to the elements: -0.97 eV per atom
* total magnetization: 0.0 μB/cell

```
data_PrErPtRh
_chemical_formula_sum 'Pr2 Er2 Pt2 Rh2'
_symmetry_space_group_name_H-M 'A m m 2'
_symmetry_Int_Tables_number 38
_symmetry_space_group_name_Hall 'A 2 -2'
_cell_length_a 4.436
_cell_length_b 3.845
_cell_length_c 10.672
_cell_angle_alpha 90.00
_cell_angle_beta 90.00
_cell_angle_gamma 90.00
loop_
_atom_site_label
_atom_site_fract_x
_atom_site_fract_y
_atom_site_fract_z
Pr1 0.000 0.000 0.000
Er1 0.500 0.000 0.281
Pt1 0.500 0.000 0.563
Rh1 0.000 0.000 0.736
```

Tb2AlP: relaxed, PBE.

Output
* energy: -5.016 eV per atom
* energy relative to the elements: -0.41 eV per atom
* total magnetization: 0.0 μB/cell

```
data_Tb2AlP
_chemical_formula_sum 'Tb6 Al3 P3'
_symmetry_space_group_name_H-M 'R -3 m'
_symmetry_Int_Tables_number 166
_symmetry_space_group_name_Hall '-R 3 2"'
_cell_length_a 3.7759
_cell_length_b 3.7759
_cell_length_c 28.4112
_cell_angle_alpha 90.00
_cell_angle_beta 90.00
_cell_angle_gamma 120.00
loop_
_atom_site_label
_atom_site_fract_x
_atom_site_fract_y
_atom_site_fract_z
Tb1 0.0000 0.0000 0.1095
Al1 0.0000 0.0000 0.0000
P1 0.0000 0.0000 0.5000
```

Al2TlSe: relaxed, PBE.

Output
* energy: -3.387 eV per atom
* E above lowest polymorph: 68 meV per atom
* raw formation energy: -0.05 eV/atom
* total magnetization: 0.0 μB/cell

```
data_Al2TlSe
_chemical_formula_sum 'Al6 Tl3 Se3'
_symmetry_space_group_name_H-M 'R -3 m'
_symmetry_Int_Tables_number 166
_symmetry_space_group_name_Hall '-R 3 2"'
_cell_length_a 3.7462
_cell_length_b 3.7462
_cell_length_c 22.3946
_cell_angle_alpha 90.00
_cell_angle_beta 90.00
_cell_angle_gamma 120.00
loop_
_atom_site_label
_atom_site_fract_x
_atom_site_fract_y
_atom_site_fract_z
Al1 0.0000 0.0000 0.2413
Tl1 0.0000 0.0000 0.0000
Se1 0.0000 0.0000 0.5000
```

OsRuPb2: relaxed, PBE.

Output
* energy: -6.209 eV per atom
* E above lowest polymorph: 312 meV per atom
* energy relative to the elements: 0.77 eV per atom
* total magnetization: 0.0 μB/cell

```
data_OsRuPb2
_chemical_formula_sum 'Os1 Ru1 Pb2'
_symmetry_space_group_name_H-M 'P 4/m m m'
_symmetry_Int_Tables_number 123
_symmetry_space_group_name_Hall '-P 4 2'
_cell_length_a 3.347
_cell_length_b 3.347
_cell_length_c 6.694
_cell_angle_alpha 90.00
_cell_angle_beta 90.00
_cell_angle_gamma 90.00
loop_
_atom_site_label
_atom_site_fract_x
_atom_site_fract_y
_atom_site_fract_z
Os1 0.000 0.000 0.000
Ru1 0.000 0.000 0.500
Pb1 0.500 0.500 0.251
```

Dy2AgGe3Te6: relaxed, PBE.

Output
* energy: -4.212 eV per atom
* raw formation energy: -0.48 eV/atom
* total magnetization: 0.0 μB/cell

```
data_Dy2AgGe3Te6
_chemical_formula_sum 'Dy4 Ag2 Ge6 Te12'
_symmetry_space_group_name_H-M 'C 1 2/m 1'
_symmetry_Int_Tables_number 12
_symmetry_space_group_name_Hall '-C 2y'
_cell_length_a 19.052
_cell_length_b 4.337
_cell_length_c 8.607
_cell_angle_alpha 90.00
_cell_angle_beta 104.71
_cell_angle_gamma 90.00
loop_
_atom_site_label
_atom_site_fract_x
_atom_site_fract_y
_atom_site_fract_z
Dy1 0.164 0.000 0.328
Ag1 0.000 0.500 0.000
Ge1 0.000 0.500 0.500
Ge2 0.165 0.000 0.843
Te1 0.000 0.000 0.248
Te2 0.165 0.500 0.586
Te3 0.174 0.500 0.078
```

BaScPb2: relaxed, PBE.

Output
* energy: -4.159 eV per atom
* energy relative to the elements: -0.24 eV per atom
* total magnetization: 0.0 μB/cell

```
data_BaScPb2
_chemical_formula_sum 'Ba3 Sc3 Pb6'
_symmetry_space_group_name_H-M 'R -3 m'
_symmetry_Int_Tables_number 166
_symmetry_space_group_name_Hall '-R 3 2"'
_cell_length_a 3.9177
_cell_length_b 3.9177
_cell_length_c 29.6947
_cell_angle_alpha 90.00
_cell_angle_beta 90.00
_cell_angle_gamma 120.00
loop_
_atom_site_label
_atom_site_fract_x
_atom_site_fract_y
_atom_site_fract_z
Ba1 0.0000 0.0000 0.0000
Sc1 0.0000 0.0000 0.5000
Pb1 0.0000 0.0000 0.2393
```

NdHo2ErTl4: relaxed, PBE.

Output
* energy: -3.828 eV per atom
* energy relative to the elements: -0.33 eV per atom
* total magnetization: 0.0 μB/cell

```
data_NdHo2ErTl4
_chemical_formula_sum 'Nd3 Ho6 Er3 Tl12'
_symmetry_space_group_name_H-M 'R -3 m'
_symmetry_Int_Tables_number 166
_symmetry_space_group_name_Hall '-R 3 2"'
_cell_length_a 5.3861
_cell_length_b 5.3861
_cell_length_c 26.5076
_cell_angle_alpha 90.00
_cell_angle_beta 90.00
_cell_angle_gamma 120.00
loop_
_atom_site_label
_atom_site_fract_x
_atom_site_fract_y
_atom_site_fract_z
Nd1 0.0000 0.0000 0.0000
Ho1 0.0000 0.0000 0.2492
Er1 0.0000 0.0000 0.5000
Tl1 0.0000 0.0000 0.1267
Tl2 0.0000 0.0000 0.3769
```